Entry from Alexandria via LeMat-Bulk: a relaxed structure of BaMgTa2I (PBE).

a = 5.133 Å, b = 5.133 Å, c = 6.056 Å
α = 90.00°, β = 90.00°, γ = 90.00°
Space group P4/mmm (No. 123)
Unique sites:
Ba (0.000, 0.000, 0.000) [1 per cell]
Mg (0.500, 0.500, 0.500) [1 per cell]
Ta (0.000, 0.500, 0.500) [2 per cell]
I (0.500, 0.500, 0.000) [1 per cell]

Properties
The energy is -4.255 eV/atom. The value obtained for the raw formation energy is 1.500 eV/atom.